A relaxed structure of HoLuH. Source: the Alexandria database, functional GGA-PBE.

Computed properties:
For the polymorph energy (0 for the lowest one), the calculation gives 0.141 eV per atom.

abc: 6.3890 6.3890 6.3890
angles: 150.02 150.02 42.91
Atoms (fractional coordinates):
Ho 0.0000 0.0000 0.0000
Lu 0.2922 0.2922 0.0000
H 0.4752 0.4752 0.0000

=====

A relaxed structure of TiHRhO2. Source: the Alexandria database, functional GGA-PBE.

Computed properties:
Its final energy is -5.50 eV/atom.

abc: 3.7331 3.7331 5.1447
angles: 90.00 90.00 90.00
Atoms (fractional coordinates):
Ti 0.0000 0.0000 0.0000
H 0.5000 0.5000 0.0000
Rh 0.0000 0.0000 0.5000
O 0.0000 0.5000 0.5000
O 0.5000 0.0000 0.5000

=====

A relaxed structure of BaScMn3. Source: the Alexandria database, functional GGA-PBE.

Computed properties:
For the formation energy, the calculation gives 0.915 eV/atom. For the polymorph energy (0 for the lowest one), the calculation gives 0.000 eV per atom.

abc: 5.1374 5.1374 5.1374
angles: 90.00 90.00 90.00
Atoms (fractional coordinates):
Ba 0.0000 0.0000 0.0000
Sc 0.5000 0.5000 0.5000
Mn 0.0000 0.5000 0.5000
Mn 0.5000 0.0000 0.5000
Mn 0.5000 0.5000 0.0000

=====

A relaxed structure of RbPmMgO3. Source: the Alexandria database, functional GGA-PBE.

Computed properties:
Its final energy is -6.20 eV/atom.

abc: 7.8667 3.6699 8.6830
angles: 90.00 105.27 90.00
Atoms (fractional coordinates):
Rb 0.1853 0.2500 0.1936
Rb 0.8147 0.7500 0.8064
Pm 0.3441 0.7500 0.8543
Pm 0.6559 0.2500 0.1457
Mg 0.0823 0.2500 0.6076
Mg 0.9177 0.7500 0.3924
O 0.1455 0.2500 0.8414
O 0.1517 0.7500 0.5587
O 0.4550 0.7500 0.1265
O 0.5450 0.2500 0.8735
O 0.8483 0.2500 0.4413
O 0.8545 0.7500 0.1586

=====

A relaxed structure of Mg2CdI. Source: the Alexandria database, functional GGA-PBE.

Computed properties:
For the polymorph energy (0 for the lowest one), the calculation gives 0.000 eV per atom.

abc: 6.7364 6.7364 6.7364
angles: 105.23 105.23 118.34
Atoms (fractional coordinates):
Mg 0.1126 0.6250 0.9876
Mg 0.3750 0.3626 0.4876
Mg 0.6374 0.1250 0.0124
Mg 0.8750 0.8874 0.5124
Cd 0.0000 0.0000 0.0000
Cd 0.7500 0.2500 0.5000
I 0.2500 0.7500 0.5000
I 0.5000 0.5000 0.0000

=====

A relaxed structure of La2Pm3In4. Source: the Alexandria database, functional GGA-PBE.

Computed properties:
For the formation energy, the calculation gives -0.324 eV/atom. For the polymorph energy (0 for the lowest one), the calculation gives 0.092 eV per atom.

abc: 9.1868 9.1868 9.4098
angles: 90.00 90.00 133.26
Atoms (fractional coordinates):
La 0.1085 0.8915 0.9281
La 0.3915 0.6085 0.4281
La 0.6085 0.3915 0.5719
La 0.8915 0.1085 0.0719
Pm 0.0000 0.0000 0.5000
Pm 0.0288 0.4712 0.7500
Pm 0.4712 0.0288 0.2500
Pm 0.5000 0.5000 0.0000
Pm 0.5288 0.9712 0.7500
Pm 0.9712 0.5288 0.2500
In 0.1845 0.8155 0.5334
In 0.2157 0.2843 0.7500
In 0.2843 0.2157 0.2500
In 0.3155 0.6845 0.0334
In 0.6845 0.3155 0.9666
In 0.7157 0.7843 0.7500
In 0.7843 0.7157 0.2500
In 0.8155 0.1845 0.4666

=====

| no. | M_tot (μB per formula unit) |
| --- | --- |
| 1 | 0.00 |
| 2 | 0.40 |
| 3 | 10.47 |
| 4 | 0.00 |
| 5 | 0.00 |
| 6 | 0.00 |